Record 1
VASP calculation (PBE) on an optimized crystal structure of Mg2Ti.

Cell and atoms, written as CIF:
```
data_Mg2Ti
_cell_length_a 3.0021
_cell_length_b 3.0021
_cell_length_c 15.5171
_cell_angle_alpha 90.00
_cell_angle_beta 90.00
_cell_angle_gamma 120.00
_symmetry_space_group_name_H-M 'P 63/m m c'
_symmetry_Int_Tables_number 194
_symmetry_space_group_name_Hall '-P 6c 2c'
loop_
_atom_site_label
_atom_site_type_symbol
_atom_site_fract_x
_atom_site_fract_y
_atom_site_fract_z
_atom_site_occupancy
Mg1 Mg 0.3333 0.6667 0.0864 1
Ti1 Ti 0.3333 0.6667 0.7500 1
```

Summary:
ΔH_f (0 K) (eV/atom): 0.144

=====

Record 2
VASP calculation (PBE) on an optimized crystal structure of BaMg2Cu.

Cell and atoms, written as CIF:
```
data_BaMg2Cu
_cell_length_a 6.262
_cell_length_b 10.625
_cell_length_c 3.489
_cell_angle_alpha 90.00
_cell_angle_beta 90.00
_cell_angle_gamma 90.00
_symmetry_space_group_name_H-M 'C m m m'
_symmetry_Int_Tables_number 65
_symmetry_space_group_name_Hall '-C 2 2'
loop_
_atom_site_label
_atom_site_type_symbol
_atom_site_fract_x
_atom_site_fract_y
_atom_site_fract_z
_atom_site_occupancy
Ba1 Ba 0.000 0.000 0.000 1
Mg1 Mg 0.250 0.250 0.500 1
Cu1 Cu 0.000 0.500 0.000 1
```

Summary:
ΔH_f (0 K) (eV/atom): 0.386

=====

Record 3
VASP calculation (PBE) on an optimized crystal structure of Rb4Pm3PaS8.

Cell and atoms, written as CIF:
```
data_Rb4Pm3PaS8
_cell_length_a 8.3295
_cell_length_b 8.3295
_cell_length_c 23.1693
_cell_angle_alpha 90.00
_cell_angle_beta 90.00
_cell_angle_gamma 120.00
_symmetry_space_group_name_H-M 'R -3 m'
_symmetry_Int_Tables_number 166
_symmetry_space_group_name_Hall '-R 3 2"'
loop_
_atom_site_label
_atom_site_type_symbol
_atom_site_fract_x
_atom_site_fract_y
_atom_site_fract_z
_atom_site_occupancy
Rb1 Rb 0.0000 0.0000 0.0000 1
Rb2 Rb 0.0000 0.5000 0.0000 1
Pm1 Pm 0.0000 0.5000 0.5000 1
Pa1 Pa 0.0000 0.0000 0.5000 1
S1 S 0.0000 0.0000 0.2329 1
S2 S 0.0083 0.5042 0.2320 1
```

Summary:
Energy relative to the elements, uncorrected (eV per atom): -1.723

=====

Record 4
VASP calculation (PBE) on an optimized crystal structure of Na5Tm3Cl12.

Cell and atoms, written as CIF:
```
data_Na5Tm3Cl12
_cell_length_a 15.952
_cell_length_b 15.952
_cell_length_c 15.952
_cell_angle_alpha 90.00
_cell_angle_beta 90.00
_cell_angle_gamma 90.00
_symmetry_space_group_name_H-M 'I a -3 d'
_symmetry_Int_Tables_number 230
_symmetry_space_group_name_Hall '-I 4bd 2c 3'
loop_
_atom_site_label
_atom_site_type_symbol
_atom_site_fract_x
_atom_site_fract_y
_atom_site_fract_z
_atom_site_occupancy
Na1 Na 0.000 0.000 0.000 1
Na2 Na 0.000 0.250 0.375 1
Tm1 Tm 0.000 0.250 0.125 1
Cl1 Cl 0.021 0.077 0.652 1
```

Summary:
Energy relative to the elements, uncorrected (eV per atom): -1.706